First-principles (GGA-PBE) data for a relaxed KSrCr crystal, as listed in Alexandria via LeMat-Bulk.

Values from the calculation:
Magnetic moment   5.0 μB/cell
Polymorph energy (0 for the lowest one)   119 meV/atom
N(E_F)   2.324 states/eV per cell
Energy relative to the elements   0.8319 eV/atom
Calculated density   2.409 Mg/m³

Lattice parameters (Å, degrees): 5.978 5.978 3.980 90.00 90.00 120.00
Last column: magnetic moment on the atom in μB.
Fractional coordinates of all 3 atoms:
Cr1 0.000 0.000 0.041  4.12
K1 0.667 0.333 0.277  0.01
Sr1 0.333 0.667 0.682  0.01